! NaHfIn4O8 (PBE-GGA, relaxed); values from VASP
&SYSTEM
  ibrav = 0, nat = 14, ntyp = 4
/
ATOMIC_SPECIES
Na 22.99 Na.upf
Hf 178.49 Hf.upf
In 114.82 In.upf
O 16.00 O.upf
CELL_PARAMETERS angstrom
3.294 1.902 5.295
-3.294 1.902 5.295
0.000 -3.803 5.295
ATOMIC_POSITIONS crystal
Na 0.000 0.000 0.000
Hf 0.379 0.379 0.379
In 0.506 0.998 0.998
In 0.619 0.619 0.619
In 0.998 0.506 0.998
In 0.998 0.998 0.506
O 0.225 0.748 0.748
O 0.249 0.249 0.249
O 0.258 0.258 0.748
O 0.258 0.748 0.258
O 0.748 0.225 0.748
O 0.748 0.258 0.258
O 0.748 0.748 0.225
O 0.756 0.756 0.756
! raw formation energy = -1.841 eV/atom
! symmetry = R3m (160)
! mass density = 6.6 Mg/m³